{"formula": "BaMgSc2", "functional": "PBE-GGA", "state": "optimized geometry", "formation_enthalpy_0k_mev_per_atom": 292, "lattice_angstrom": [[3.802, 0.000, 0.000], [0.000, 5.653, 0.000], [0.000, 0.000, 5.564]], "species": ["Mg", "Ba", "Sc", "Sc"], "fractional_positions": [[0.000, 0.500, 0.500], [0.500, 0.000, 0.500], [0.000, 0.000, 0.000], [0.500, 0.500, 0.000]]}